Below is an optimized crystal structure of Ba3NbTc, with properties calculated at the PBE level.

Cell and atoms, written as extended XYZ:
```
5
Lattice="5.8531 0.0000 0.0000 0.0000 5.8531 0.0000 0.0000 0.0000 5.8531" Properties=species:S:1:pos:R:3 pbc="T T T"
Ba 0.0000 0.0000 2.9266
Ba 0.0000 2.9266 0.0000
Ba 2.9266 0.0000 0.0000
Nb 2.9266 2.9266 2.9266
Tc 0.0000 0.0000 0.0000
```

Output
The crystal system is cubic. The calculation puts the energy above the most stable polymorph in this dataset at 0.000 eV per atom.